1.
{
  "formula": "La2CuGe4Rh3",
  "functional": "GGA-PBE",
  "state": "relaxed",
  "lattice": [[-1.447, 3.191, 2.610], [-4.053, -1.604, -0.286], [1.709, -5.739, 7.965]],
  "species": ["La", "La", "Cu", "Ge", "Ge", "Ge", "Ge", "Rh", "Rh", "Rh"],
  "fractional_positions": [[0.500, 0.000, 0.247], [0.000, 0.500, 0.753], [0.500, 0.500, 0.500], [0.500, 0.500, 0.000], [0.000, 0.000, 0.000], [0.500, 0.000, 0.626], [0.000, 0.500, 0.374], [0.000, 0.000, 0.500], [0.500, 0.000, 0.875], [0.000, 0.500, 0.125]],
  "sg": "No. 115",
  "crystal_system": "tetragonal",
  "rho_g_cm3": 8.213,
  "delta_e_f_ev_per_atom": -0.7784,
  "m_tot_mub_per_cell": 0.00
}



2.
{
  "formula": "La5SmHo2",
  "functional": "GGA-PBE",
  "state": "relaxed",
  "lattice": [[-3.049, -4.606, -7.552], [-0.800, -7.812, 5.088], [-4.177, 7.804, 2.722]],
  "species": ["La", "La", "La", "La", "La", "La", "La", "La", "La", "La", "Sm", "Sm", "Ho", "Ho", "Ho", "Ho"],
  "fractional_positions": [[0.482, 0.685, 0.667], [0.815, 0.018, 0.333], [0.000, 0.000, 0.000], [0.500, 0.500, 0.000], [0.185, 0.982, 0.667], [0.685, 0.185, 0.667], [0.982, 0.482, 0.667], [0.315, 0.815, 0.333], [0.018, 0.518, 0.333], [0.518, 0.315, 0.333], [0.750, 0.750, 0.500], [0.250, 0.250, 0.500], [0.146, 0.354, 0.000], [0.646, 0.146, 0.000], [0.354, 0.854, 0.000], [0.854, 0.646, 0.000]],
  "sg": "No. 140",
  "crystal_system": "tetragonal",
  "rho_g_cm3": 6.877,
  "delta_e_f_ev_per_atom": 0.1298,
  "m_tot_mub_per_cell": 0.00
}



3.
{
  "formula": "MgInHg",
  "functional": "GGA-PBE",
  "state": "relaxed",
  "lattice": [[-3.222, -1.323, 0.302], [2.581, -1.964, -1.307], [1.496, -2.211, 6.277]],
  "species": ["Mg", "Hg", "In"],
  "fractional_positions": [[0.333, 0.667, 0.680], [0.000, 0.000, 0.988], [0.667, 0.333, 0.332]],
  "sg": "No. 156",
  "crystal_system": "trigonal",
  "rho_g_cm3": 7.811,
  "delta_e_f_ev_per_atom": -0.0703,
  "m_tot_mub_per_cell": 0.00
}